Here is an optimized crystal structure of La3Sn5Hg12 from the Alexandria database. Energies are from PBE.

Properties
formation energy: 0.0554 eV/atom
density of states at the Fermi level: 51.70 states/eV/cell

Cell lengths 15.195, 15.195, 15.195 Å; angles 109.47, 109.47, 109.47 degrees
Sites, in units of the cell vectors:
La1 0.750 0.375 0.125
La2 0.875 0.750 0.125
La3 0.375 0.750 0.625
La4 0.250 0.125 0.375
La5 0.875 0.125 0.250
La6 0.375 0.625 0.250
La7 0.625 0.375 0.750
La8 0.125 0.875 0.750
La9 0.750 0.875 0.625
La10 0.625 0.250 0.375
La11 0.125 0.250 0.875
La12 0.250 0.625 0.875
Sn1 0.125 0.375 0.250
Sn2 0.000 0.500 0.000
Sn3 0.000 0.000 0.000
Sn4 0.375 0.250 0.125
Sn5 0.500 0.000 0.500
Sn6 0.500 0.500 0.000
Sn7 0.125 0.750 0.375
Sn8 0.750 0.125 0.875
Sn9 0.750 0.625 0.375
Sn10 0.375 0.125 0.750
Sn11 0.625 0.875 0.250
Sn12 0.500 0.500 0.500
Sn13 0.500 0.000 0.000
Sn14 0.000 0.000 0.500
Sn15 0.250 0.375 0.625
Sn16 0.250 0.875 0.125
Sn17 0.000 0.500 0.500
Sn18 0.875 0.250 0.625
Sn19 0.625 0.750 0.875
Sn20 0.875 0.625 0.750
Hg1 0.722 0.127 0.051
Hg2 0.329 0.551 0.425
Hg3 0.949 0.373 0.278
Hg4 0.551 0.222 0.127
Hg5 0.596 0.722 0.671
Hg6 0.949 0.575 0.171
Hg7 0.329 0.778 0.404
Hg8 0.075 0.904 0.127
Hg9 0.575 0.949 0.671
Hg10 0.722 0.596 0.171
Hg11 0.778 0.449 0.373
Hg12 0.829 0.925 0.051
Hg13 0.127 0.722 0.551
Hg14 0.373 0.425 0.096
Hg15 0.096 0.925 0.373
Hg16 0.404 0.127 0.575
Hg17 0.096 0.171 0.222
Hg18 0.449 0.671 0.075
Hg19 0.829 0.904 0.278
Hg20 0.127 0.404 0.075
Hg21 0.373 0.949 0.778
Hg22 0.575 0.627 0.404
Hg23 0.925 0.829 0.551
Hg24 0.778 0.329 0.904
Hg25 0.425 0.373 0.596
Hg26 0.075 0.171 0.449
Hg27 0.222 0.671 0.096
Hg28 0.171 0.096 0.722
Hg29 0.627 0.051 0.222
Hg30 0.873 0.596 0.925
Hg31 0.551 0.329 0.925
Hg32 0.596 0.873 0.425
Hg33 0.904 0.829 0.778
Hg34 0.904 0.075 0.627
Hg35 0.873 0.278 0.449
Hg36 0.171 0.075 0.949
Hg37 0.627 0.575 0.904
Hg38 0.425 0.051 0.329
Hg39 0.278 0.404 0.829
Hg40 0.222 0.551 0.627
Hg41 0.925 0.096 0.873
Hg42 0.671 0.222 0.596
Hg43 0.449 0.778 0.873
Hg44 0.051 0.425 0.829
Hg45 0.404 0.278 0.329
Hg46 0.051 0.627 0.722
Hg47 0.671 0.449 0.575
Hg48 0.278 0.873 0.949



Here is an optimized crystal structure of La2SnHg2 from the Alexandria database. Energies are from PBE.

Properties
ΔE to the lowest computed polymorph: 0.000 eV per atom
formation energy: -0.5544 eV/atom
density of states at the Fermi level: 7.95 states/eV/cell

Cell lengths 4.779, 6.353, 10.772 Å; angles 89.42, 77.18, 67.91 degrees
Sites, in units of the cell vectors:
La1 0.675 0.315 0.335
La2 0.920 0.261 0.900
La3 0.325 0.685 0.665
La4 0.080 0.739 0.100
Sn1 0.605 0.111 0.679
Sn2 0.395 0.889 0.321
Hg1 0.093 0.265 0.550
Hg2 0.653 0.803 0.890
Hg3 0.907 0.735 0.450
Hg4 0.347 0.197 0.110



Here is an optimized crystal structure of La2SnHg2 from the Alexandria database. Energies are from PBE.

Properties
ΔE to the lowest computed polymorph: 0.187 eV per atom
formation energy: -0.3679 eV/atom
density of states at the Fermi level: 8.39 states/eV/cell

Cell lengths 8.910, 8.910, 3.980 Å; angles 90.00, 90.00, 90.00 degrees
Sites, in units of the cell vectors:
Hg1 0.133 0.633 0.500
Hg2 0.633 0.867 0.500
Hg3 0.867 0.367 0.500
Hg4 0.367 0.133 0.500
Sn1 0.000 0.000 0.000
Sn2 0.500 0.500 0.000
La1 0.334 0.834 0.000
La2 0.834 0.666 0.000
La3 0.666 0.166 0.000
La4 0.166 0.334 0.000



Here is an optimized crystal structure of LaSnHg3 from the Alexandria database. Energies are from PBE.

Properties
ΔE to the lowest computed polymorph: 0.878 eV per atom
formation energy: 0.5338 eV/atom
density of states at the Fermi level: 6.56 states/eV/cell

Cell lengths 5.912, 5.912, 5.912 Å; angles 90.00, 90.00, 90.00 degrees
Sites, in units of the cell vectors:
Hg1 0.000 0.500 0.000
Hg2 0.000 0.000 0.500
Hg3 0.500 0.000 0.000
Sn1 0.500 0.500 0.500
La1 0.000 0.000 0.000



Among the records above, which one has the lowest formation energy?
number 2



The lowest density of states at the Fermi level belongs to which entry?
LaSnHg3



The lowest density of states at the Fermi level belongs to which entry?
LaSnHg3



Among the records above, which one has the highest density of states at the Fermi level?
La3Sn5Hg12